Entry 1:
# SrLaBi2C PBE optimized geometry
# Energy relative to the elements: 0.55 eV per atom
# DFT total energy: -4.169 eV/atom
# Magnetization: 0.000 μB per formula unit
data_SrLaBi2C
_chemical_formula_sum 'Sr1 La1 Bi2 C1'
_space_group_name_H-M_alt 'P 4/m m m'
_space_group_IT_number 123
_space_group_name_Hall '-P 4 2'
_cell_length_a 6.320
_cell_length_b 6.320
_cell_length_c 4.571
_cell_angle_alpha 90.00
_cell_angle_beta 90.00
_cell_angle_gamma 90.00
loop_
_atom_site_label
_atom_site_type_symbol
_atom_site_fract_x
_atom_site_fract_y
_atom_site_fract_z
_atom_site_occupancy
Sr1 Sr 0.000 0.000 0.000 1
La1 La 0.500 0.500 0.500 1
Bi1 Bi 0.000 0.500 0.500 1
C1 C 0.500 0.500 0.000 1

Entry 2:
# LaPmGe2 PBE optimized geometry
# Energy relative to the elements: -0.84 eV per atom
# DFT total energy: -5.571 eV/atom
# Magnetization: 0.000 μB per formula unit
data_LaPmGe2
_chemical_formula_sum 'La2 Pm2 Ge4'
_space_group_name_H-M_alt 'P m c 21'
_space_group_IT_number 26
_space_group_name_Hall 'P 2c -2'
_cell_length_a 4.106
_cell_length_b 6.039
_cell_length_c 8.370
_cell_angle_alpha 90.00
_cell_angle_beta 90.00
_cell_angle_gamma 90.00
loop_
_atom_site_label
_atom_site_type_symbol
_atom_site_fract_x
_atom_site_fract_y
_atom_site_fract_z
_atom_site_occupancy
La1 La 0.000 0.133 0.000 1
Pm1 Pm 0.500 0.368 0.637 1
Ge1 Ge 0.000 0.390 0.357 1
Ge2 Ge 0.500 0.120 0.282 1

Entry 3:
# GdEr2Zr PBE optimized geometry
# Energy relative to the lowest polymorph listed for this composition: 0.0 meV per atom
# Energy relative to the elements: 0.06 eV per atom
# DFT total energy: -7.876 eV/atom
# Magnetization: 7.485 μB per formula unit
data_GdEr2Zr
_chemical_formula_sum 'Gd1 Er2 Zr1'
_space_group_name_H-M_alt 'P 4/m m m'
_space_group_IT_number 123
_space_group_name_Hall '-P 4 2'
_cell_length_a 3.411
_cell_length_b 3.411
_cell_length_c 9.873
_cell_angle_alpha 90.00
_cell_angle_beta 90.00
_cell_angle_gamma 90.00
loop_
_atom_site_label
_atom_site_type_symbol
_atom_site_fract_x
_atom_site_fract_y
_atom_site_fract_z
_atom_site_occupancy
Gd1 Gd 0.000 0.000 0.000 1
Er1 Er 0.500 0.500 0.271 1
Zr1 Zr 0.000 0.000 0.500 1

Entry 4:
# CeMgCuRh PBE optimized geometry
# Energy relative to the elements: -0.34 eV per atom
# DFT total energy: -5.084 eV/atom
# Magnetization: 0.043 μB per formula unit
data_CeMgCuRh
_chemical_formula_sum 'Ce4 Mg4 Cu4 Rh4'
_space_group_name_H-M_alt 'F -4 3 m'
_space_group_IT_number 216
_space_group_name_Hall 'F -4 2 3'
_cell_length_a 6.720
_cell_length_b 6.720
_cell_length_c 6.720
_cell_angle_alpha 90.00
_cell_angle_beta 90.00
_cell_angle_gamma 90.00
loop_
_atom_site_label
_atom_site_type_symbol
_atom_site_fract_x
_atom_site_fract_y
_atom_site_fract_z
_atom_site_occupancy
Ce1 Ce 0.000 0.000 0.000 1
Mg1 Mg 0.000 0.000 0.500 1
Cu1 Cu 0.250 0.250 0.750 1
Rh1 Rh 0.250 0.250 0.250 1

Entry 5:
# SrP2Se PBE optimized geometry
# DFT total energy: -4.182 eV/atom
# Magnetization: 0.000 μB per formula unit
data_SrP2Se
_chemical_formula_sum 'Sr2 P4 Se2'
_space_group_name_H-M_alt 'C m m m'
_space_group_IT_number 65
_space_group_name_Hall '-C 2 2'
_cell_length_a 5.120
_cell_length_b 6.646
_cell_length_c 5.863
_cell_angle_alpha 90.00
_cell_angle_beta 90.00
_cell_angle_gamma 90.00
loop_
_atom_site_label
_atom_site_type_symbol
_atom_site_fract_x
_atom_site_fract_y
_atom_site_fract_z
_atom_site_occupancy
Sr1 Sr 0.000 0.000 0.000 1
P1 P 0.000 0.500 0.321 1
Se1 Se 0.000 0.000 0.500 1

Entry 6:
# MnSi2Te PBE optimized geometry
# DFT total energy: -5.551 eV/atom
# Magnetization: 0.000 μB per formula unit
data_MnSi2Te
_chemical_formula_sum 'Mn1 Si2 Te1'
_space_group_name_H-M_alt 'P 4/m m m'
_space_group_IT_number 123
_space_group_name_Hall '-P 4 2'
_cell_length_a 2.923
_cell_length_b 2.923
_cell_length_c 8.040
_cell_angle_alpha 90.00
_cell_angle_beta 90.00
_cell_angle_gamma 90.00
loop_
_atom_site_label
_atom_site_type_symbol
_atom_site_fract_x
_atom_site_fract_y
_atom_site_fract_z
_atom_site_occupancy
Mn1 Mn 0.000 0.000 0.000 1
Si1 Si 0.500 0.500 0.160 1
Te1 Te 0.000 0.000 0.500 1

Entry 7:
# Ti2GaPb2 PBE optimized geometry
# Energy relative to the lowest polymorph listed for this composition: 0.0 meV per atom
# Energy relative to the elements: -0.03 eV per atom
# DFT total energy: -5.282 eV/atom
# Magnetization: 0.000 μB per formula unit
data_Ti2GaPb2
_chemical_formula_sum 'Ti4 Ga2 Pb4'
_space_group_name_H-M_alt 'P 4/m b m'
_space_group_IT_number 127
_space_group_name_Hall '-P 4 2ab'
_cell_length_a 6.977
_cell_length_b 6.977
_cell_length_c 4.360
_cell_angle_alpha 90.00
_cell_angle_beta 90.00
_cell_angle_gamma 90.00
loop_
_atom_site_label
_atom_site_type_symbol
_atom_site_fract_x
_atom_site_fract_y
_atom_site_fract_z
_atom_site_occupancy
Ti1 Ti 0.149 0.351 0.000 1
Ga1 Ga 0.000 0.000 0.000 1
Pb1 Pb 0.164 0.664 0.500 1

Entry 8:
# Ac4LaAu5 PBE optimized geometry
# Energy relative to the elements: -0.77 eV per atom
# DFT total energy: -4.549 eV/atom
# Magnetization: 0.000 μB per formula unit
data_Ac4LaAu5
_chemical_formula_sum 'Ac4 La1 Au5'
_space_group_name_H-M_alt 'P 4/m m m'
_space_group_IT_number 123
_space_group_name_Hall '-P 4 2'
_cell_length_a 3.876
_cell_length_b 3.876
_cell_length_c 19.526
_cell_angle_alpha 90.00
_cell_angle_beta 90.00
_cell_angle_gamma 90.00
loop_
_atom_site_label
_atom_site_type_symbol
_atom_site_fract_x
_atom_site_fract_y
_atom_site_fract_z
_atom_site_occupancy
Ac1 Ac 0.000 0.000 0.101 1
Ac2 Ac 0.000 0.000 0.304 1
La1 La 0.000 0.000 0.500 1
Au1 Au 0.500 0.500 0.000 1
Au2 Au 0.500 0.500 0.203 1
Au3 Au 0.500 0.500 0.408 1